Record 1
# TaAlPO | OQMD via LeMat-Bulk | PBE | relaxed
# Calculated volume = 132 Å³/cell
# Offset from the most stable computed form = 0 meV/atom
# ρ = 6.4 g cm⁻³
data_TaAlPO
_chemical_formula_sum 'Ta2 Al2 P2 O2'
_space_group_name_H-M_alt 'P 4/n m m'
_space_group_IT_number 129
_cell_length_a 3.7682
_cell_length_b 3.7682
_cell_length_c 9.3087
_cell_angle_alpha 90.00
_cell_angle_beta 90.00
_cell_angle_gamma 90.00
loop_
_space_group_symop_operation_xyz
'x,y,z'
'-x,-y,-z'
'-y+1/2,x,z'
'y+1/2,-x,-z'
'-x+1/2,-y+1/2,z'
'x+1/2,y+1/2,-z'
'y,-x+1/2,z'
'-y,x+1/2,-z'
'x+1/2,-y,-z'
'-x+1/2,y,z'
'-y,-x,-z'
'y,x,z'
'-x,y+1/2,-z'
'x,-y+1/2,z'
'y+1/2,x+1/2,-z'
'-y+1/2,-x+1/2,z'
loop_
_atom_site_label
_atom_site_type_symbol
_atom_site_fract_x
_atom_site_fract_y
_atom_site_fract_z
Ta1 Ta 0.2500 0.7500 0.0000
Al1 Al 0.2500 0.2500 0.4298
P1 P 0.2500 0.2500 0.1839
O1 O 0.2500 0.7500 0.5000

=====

Record 2
# TaAlPO | OQMD via LeMat-Bulk | PBE | relaxed
# Calculated volume = 121 Å³/cell
# Offset from the most stable computed form = 297 meV/atom
# ρ = 7.0 g cm⁻³
data_TaAlPO
_chemical_formula_sum 'Ta2 Al2 P2 O2'
_space_group_name_H-M_alt 'P m c 21'
_space_group_IT_number 26
_cell_length_a 3.5668
_cell_length_b 6.7913
_cell_length_c 4.9860
_cell_angle_alpha 90.00
_cell_angle_beta 90.00
_cell_angle_gamma 90.00
loop_
_space_group_symop_operation_xyz
'x,y,z'
'-x,-y,z+1/2'
'-x,y,z'
'x,-y,z+1/2'
loop_
_atom_site_label
_atom_site_type_symbol
_atom_site_fract_x
_atom_site_fract_y
_atom_site_fract_z
Ta1 Ta 0.0000 0.1276 0.0000
Al1 Al 0.5000 0.4055 0.6443
P1 P 0.0000 0.2310 0.4875
O1 O 0.5000 0.3479 0.9985

=====

Record 3
# AlTcPO | OQMD via LeMat-Bulk | PBE | relaxed
# Calculated volume = 106 Å³/cell
# Offset from the most stable computed form = 319 meV/atom
# ρ = 5.4 g cm⁻³
data_AlTcPO
_chemical_formula_sum 'Al2 Tc2 P2 O2'
_space_group_name_H-M_alt 'P m c 21'
_space_group_IT_number 26
_cell_length_a 3.1669
_cell_length_b 5.7479
_cell_length_c 5.8034
_cell_angle_alpha 90.00
_cell_angle_beta 90.00
_cell_angle_gamma 90.00
loop_
_space_group_symop_operation_xyz
'x,y,z'
'-x,-y,z+1/2'
'-x,y,z'
'x,-y,z+1/2'
loop_
_atom_site_label
_atom_site_type_symbol
_atom_site_fract_x
_atom_site_fract_y
_atom_site_fract_z
Al1 Al 0.0000 0.1289 0.0000
Tc1 Tc 0.5000 0.4952 0.6338
P1 P 0.0000 0.2817 0.4093
O1 O 0.5000 0.2146 0.8796